Entry 1:
# LaPm3Sb3 PBE relaxed
# - Final energy: -5.47 eV per atom
# - E above lowest polymorph: 11.07 kJ/mol of atoms
# - Magnetization: 0.0 μB per cell
# - Space-group type: R-3
# - ρ: 6.5 Mg/m³
# - Formation energy without anion corrections: -92.8 kJ/mol of atoms
data_LaPm3Sb3
_chemical_formula_sum 'La2 Pm6 Sb6'
_cell_length_a 8.291
_cell_length_b 8.291
_cell_length_c 8.291
_cell_angle_alpha 68.81
_cell_angle_beta 68.81
_cell_angle_gamma 68.81
_symmetry_space_group_name_H-M 'P 1'
_symmetry_Int_Tables_number 1
loop_
_symmetry_equiv_pos_as_xyz
'x,y,z'
loop_
_atom_site_label
_atom_site_fract_x
_atom_site_fract_y
_atom_site_fract_z
_atom_site_occupancy
La1 0.166 0.166 0.166 1
La2 0.834 0.834 0.834 1
Pm1 0.145 0.684 0.408 1
Pm2 0.316 0.592 0.855 1
Pm3 0.408 0.145 0.684 1
Pm4 0.592 0.855 0.316 1
Pm5 0.684 0.408 0.145 1
Pm6 0.855 0.316 0.592 1
Sb1 0.041 0.425 0.794 1
Sb2 0.206 0.959 0.575 1
Sb3 0.425 0.794 0.041 1
Sb4 0.575 0.206 0.959 1
Sb5 0.794 0.041 0.425 1
Sb6 0.959 0.575 0.206 1

***

Entry 2:
# La2Pm2Sb5 PBE relaxed
# - Final energy: -5.42 eV per atom
# - Magnetization: 0.0 μB per cell
# - Space-group type: Cmce
# - ρ: 6.8 Mg/m³
# - Formation energy without anion corrections: -94.4 kJ/mol of atoms
data_La2Pm2Sb5
_chemical_formula_sum 'La4 Pm4 Sb10'
_cell_length_a 9.264
_cell_length_b 9.264
_cell_length_c 8.382
_cell_angle_alpha 90.00
_cell_angle_beta 90.00
_cell_angle_gamma 53.03
_symmetry_space_group_name_H-M 'P 1'
_symmetry_Int_Tables_number 1
loop_
_symmetry_equiv_pos_as_xyz
'x,y,z'
loop_
_atom_site_label
_atom_site_fract_x
_atom_site_fract_y
_atom_site_fract_z
_atom_site_occupancy
La1 0.189 0.189 0.000 1
La2 0.311 0.311 0.500 1
La3 0.689 0.689 0.500 1
La4 0.811 0.811 0.000 1
Pm1 0.161 0.839 0.663 1
Pm2 0.339 0.661 0.163 1
Pm3 0.661 0.339 0.837 1
Pm4 0.839 0.161 0.337 1
Sb1 0.000 0.000 0.000 1
Sb2 0.003 0.269 0.634 1
Sb3 0.231 0.497 0.866 1
Sb4 0.269 0.003 0.366 1
Sb5 0.497 0.231 0.134 1
Sb6 0.500 0.500 0.500 1
Sb7 0.503 0.769 0.866 1
Sb8 0.731 0.997 0.634 1
Sb9 0.769 0.503 0.134 1
Sb10 0.997 0.731 0.366 1

***

Entry 3:
# La3PmSb PBE relaxed
# - Final energy: -5.09 eV per atom
# - Magnetization: 0.0 μB per cell
# - Space-group type: P-1
# - ρ: 6.5 Mg/m³
# - Formation energy without anion corrections: -34.2 kJ/mol of atoms
data_La3PmSb
_chemical_formula_sum 'La6 Pm2 Sb2'
_cell_length_a 4.477
_cell_length_b 8.280
_cell_length_c 9.767
_cell_angle_alpha 88.00
_cell_angle_beta 89.98
_cell_angle_gamma 74.33
_symmetry_space_group_name_H-M 'P 1'
_symmetry_Int_Tables_number 1
loop_
_symmetry_equiv_pos_as_xyz
'x,y,z'
loop_
_atom_site_label
_atom_site_fract_x
_atom_site_fract_y
_atom_site_fract_z
_atom_site_occupancy
La1 0.039 0.422 0.157 1
La2 0.239 0.022 0.816 1
La3 0.421 0.657 0.407 1
La4 0.579 0.343 0.593 1
La5 0.761 0.978 0.184 1
La6 0.961 0.578 0.843 1
Pm1 0.184 0.133 0.439 1
Pm2 0.816 0.867 0.561 1
Sb1 0.388 0.723 0.066 1
Sb2 0.612 0.277 0.934 1

***

Entry 4:
# LaPm3Sb3 PBE relaxed
# - Final energy: -5.58 eV per atom
# - E above lowest polymorph: 0.00 kJ/mol of atoms
# - Magnetization: 0.0 μB per cell
# - Space-group type: P2_13
# - ρ: 7.2 Mg/m³
# - Formation energy without anion corrections: -103.9 kJ/mol of atoms
data_LaPm3Sb3
_chemical_formula_sum 'La4 Pm12 Sb12'
_cell_length_a 9.514
_cell_length_b 9.514
_cell_length_c 9.514
_cell_angle_alpha 90.00
_cell_angle_beta 90.00
_cell_angle_gamma 90.00
_symmetry_space_group_name_H-M 'P 1'
_symmetry_Int_Tables_number 1
loop_
_symmetry_equiv_pos_as_xyz
'x,y,z'
loop_
_atom_site_label
_atom_site_fract_x
_atom_site_fract_y
_atom_site_fract_z
_atom_site_occupancy
La1 0.070 0.430 0.570 1
La2 0.430 0.570 0.070 1
La3 0.570 0.070 0.430 1
La4 0.930 0.930 0.930 1
Pm1 0.073 0.573 0.927 1
Pm2 0.180 0.820 0.320 1
Pm3 0.181 0.181 0.181 1
Pm4 0.319 0.819 0.681 1
Pm5 0.320 0.180 0.820 1
Pm6 0.427 0.427 0.427 1
Pm7 0.573 0.927 0.073 1
Pm8 0.680 0.680 0.680 1
Pm9 0.681 0.319 0.819 1
Pm10 0.819 0.681 0.319 1
Pm11 0.820 0.320 0.180 1
Pm12 0.927 0.073 0.573 1
Sb1 0.001 0.254 0.879 1
Sb2 0.121 0.501 0.246 1
Sb3 0.246 0.121 0.501 1
Sb4 0.254 0.879 0.001 1
Sb5 0.379 0.499 0.746 1
Sb6 0.499 0.746 0.379 1
Sb7 0.501 0.246 0.121 1
Sb8 0.621 0.999 0.754 1
Sb9 0.746 0.379 0.499 1
Sb10 0.754 0.621 0.999 1
Sb11 0.879 0.001 0.254 1
Sb12 0.999 0.754 0.621 1

***

Entry 5:
# La2Pm2Sb3 PBE relaxed
# - Final energy: -5.63 eV per atom
# - Magnetization: 0.0 μB per cell
# - Space-group type: I2_13
# - ρ: 7.1 Mg/m³
# - Formation energy without anion corrections: -105.9 kJ/mol of atoms
data_La2Pm2Sb3
_chemical_formula_sum 'La4 Pm4 Sb6'
_cell_length_a 8.286
_cell_length_b 8.286
_cell_length_c 8.286
_cell_angle_alpha 109.47
_cell_angle_beta 109.47
_cell_angle_gamma 109.47
_symmetry_space_group_name_H-M 'P 1'
_symmetry_Int_Tables_number 1
loop_
_symmetry_equiv_pos_as_xyz
'x,y,z'
loop_
_atom_site_label
_atom_site_fract_x
_atom_site_fract_y
_atom_site_fract_z
_atom_site_occupancy
La1 0.000 0.353 0.500 1
La2 0.147 0.147 0.147 1
La3 0.353 0.500 0.000 1
La4 0.500 0.000 0.353 1
Pm1 0.000 0.862 0.500 1
Pm2 0.500 0.000 0.862 1
Pm3 0.638 0.638 0.638 1
Pm4 0.862 0.500 0.000 1
Sb1 0.118 0.750 0.868 1
Sb2 0.250 0.632 0.382 1
Sb3 0.382 0.250 0.632 1
Sb4 0.632 0.382 0.250 1
Sb5 0.750 0.868 0.118 1
Sb6 0.868 0.118 0.750 1

***

Entry 6:
# LaPmSb2 PBE relaxed
# - Final energy: -5.71 eV per atom
# - E above lowest polymorph: 0.00 kJ/mol of atoms
# - Magnetization: 0.0 μB per cell
# - Space-group type: R-3m
# - ρ: 6.5 Mg/m³
# - Formation energy without anion corrections: -118.8 kJ/mol of atoms
data_LaPmSb2
_chemical_formula_sum 'La3 Pm3 Sb6'
_cell_length_a 4.563
_cell_length_b 4.563
_cell_length_c 22.313
_cell_angle_alpha 90.00
_cell_angle_beta 90.00
_cell_angle_gamma 120.00
_symmetry_space_group_name_H-M 'P 1'
_symmetry_Int_Tables_number 1
loop_
_symmetry_equiv_pos_as_xyz
'x,y,z'
loop_
_atom_site_label
_atom_site_fract_x
_atom_site_fract_y
_atom_site_fract_z
_atom_site_occupancy
La1 0.000 0.000 0.000 1
La2 0.333 0.667 0.667 1
La3 0.667 0.333 0.333 1
Pm1 0.000 0.000 0.500 1
Pm2 0.333 0.667 0.167 1
Pm3 0.667 0.333 0.833 1
Sb1 0.000 0.000 0.248 1
Sb2 0.000 0.000 0.752 1
Sb3 0.333 0.667 0.419 1
Sb4 0.333 0.667 0.915 1
Sb5 0.667 0.333 0.085 1
Sb6 0.667 0.333 0.581 1

***

Entry 7:
# LaPmSb PBE relaxed
# - Final energy: -5.28 eV per atom
# - E above lowest polymorph: 19.17 kJ/mol of atoms
# - Magnetization: 0.0 μB per cell
# - Space-group type: F-43m
# - ρ: 6.5 Mg/m³
# - Formation energy without anion corrections: -65.4 kJ/mol of atoms
data_LaPmSb
_chemical_formula_sum 'La4 Pm4 Sb4'
_cell_length_a 7.472
_cell_length_b 7.472
_cell_length_c 7.472
_cell_angle_alpha 90.00
_cell_angle_beta 90.00
_cell_angle_gamma 90.00
_symmetry_space_group_name_H-M 'P 1'
_symmetry_Int_Tables_number 1
loop_
_symmetry_equiv_pos_as_xyz
'x,y,z'
loop_
_atom_site_label
_atom_site_fract_x
_atom_site_fract_y
_atom_site_fract_z
_atom_site_occupancy
La1 0.000 0.000 0.000 1
La2 0.000 0.500 0.500 1
La3 0.500 0.000 0.500 1
La4 0.500 0.500 0.000 1
Pm1 0.000 0.000 0.500 1
Pm2 0.000 0.500 0.000 1
Pm3 0.500 0.000 0.000 1
Pm4 0.500 0.500 0.500 1
Sb1 0.250 0.250 0.750 1
Sb2 0.250 0.750 0.250 1
Sb3 0.750 0.250 0.250 1
Sb4 0.750 0.750 0.750 1

***

Entry 8:
# La4PmSb5 PBE relaxed
# - Final energy: -5.76 eV per atom
# - Magnetization: 0.0 μB per cell
# - Space-group type: I4/mmm
# - ρ: 6.3 Mg/m³
# - Formation energy without anion corrections: -121.2 kJ/mol of atoms
data_La4PmSb5
_chemical_formula_sum 'La4 Pm1 Sb5'
_cell_length_a 16.578
_cell_length_b 16.578
_cell_length_c 16.578
_cell_angle_alpha 164.04
_cell_angle_beta 164.04
_cell_angle_gamma 22.64
_symmetry_space_group_name_H-M 'P 1'
_symmetry_Int_Tables_number 1
loop_
_symmetry_equiv_pos_as_xyz
'x,y,z'
loop_
_atom_site_label
_atom_site_fract_x
_atom_site_fract_y
_atom_site_fract_z
_atom_site_occupancy
La1 0.099 0.099 0.000 1
La2 0.301 0.301 0.000 1
La3 0.699 0.699 0.000 1
La4 0.901 0.901 0.000 1
Pm1 0.500 0.500 0.000 1
Sb1 0.000 0.000 0.000 1
Sb2 0.200 0.200 0.000 1
Sb3 0.401 0.401 0.000 1
Sb4 0.599 0.599 0.000 1
Sb5 0.800 0.800 0.000 1

***

Entry 9:
# La3Pm2Sb3 PBE relaxed
# - Final energy: -5.57 eV per atom
# - Magnetization: 1.1 μB per cell
# - Space-group type: P6_3/mcm
# - ρ: 7.0 Mg/m³
# - Formation energy without anion corrections: -95.7 kJ/mol of atoms
data_La3Pm2Sb3
_chemical_formula_sum 'La6 Pm4 Sb6'
_cell_length_a 9.440
_cell_length_b 9.440
_cell_length_c 6.597
_cell_angle_alpha 90.00
_cell_angle_beta 90.00
_cell_angle_gamma 120.00
_symmetry_space_group_name_H-M 'P 1'
_symmetry_Int_Tables_number 1
loop_
_symmetry_equiv_pos_as_xyz
'x,y,z'
loop_
_atom_site_label
_atom_site_fract_x
_atom_site_fract_y
_atom_site_fract_z
_atom_site_occupancy
La1 0.000 0.253 0.250 1
La2 0.000 0.747 0.750 1
La3 0.253 0.000 0.250 1
La4 0.253 0.253 0.750 1
La5 0.747 0.000 0.750 1
La6 0.747 0.747 0.250 1
Pm1 0.333 0.667 0.000 1
Pm2 0.333 0.667 0.500 1
Pm3 0.667 0.333 0.000 1
Pm4 0.667 0.333 0.500 1
Sb1 0.000 0.389 0.750 1
Sb2 0.000 0.611 0.250 1
Sb3 0.389 0.000 0.750 1
Sb4 0.389 0.389 0.250 1
Sb5 0.611 0.000 0.250 1
Sb6 0.611 0.611 0.750 1

***

Entry 10:
# LaPmSb2 PBE relaxed
# - Final energy: -5.42 eV per atom
# - E above lowest polymorph: 28.14 kJ/mol of atoms
# - Magnetization: 0.0 μB per cell
# - Space-group type: Fm-3m
# - ρ: 7.3 Mg/m³
# - Formation energy without anion corrections: -90.7 kJ/mol of atoms
data_LaPmSb2
_chemical_formula_sum 'La4 Pm4 Sb8'
_cell_length_a 7.842
_cell_length_b 7.842
_cell_length_c 7.842
_cell_angle_alpha 90.00
_cell_angle_beta 90.00
_cell_angle_gamma 90.00
_symmetry_space_group_name_H-M 'P 1'
_symmetry_Int_Tables_number 1
loop_
_symmetry_equiv_pos_as_xyz
'x,y,z'
loop_
_atom_site_label
_atom_site_fract_x
_atom_site_fract_y
_atom_site_fract_z
_atom_site_occupancy
La1 0.000 0.000 0.000 1
La2 0.000 0.500 0.500 1
La3 0.500 0.000 0.500 1
La4 0.500 0.500 0.000 1
Pm1 0.000 0.000 0.500 1
Pm2 0.000 0.500 0.000 1
Pm3 0.500 0.000 0.000 1
Pm4 0.500 0.500 0.500 1
Sb1 0.250 0.250 0.250 1
Sb2 0.250 0.250 0.750 1
Sb3 0.250 0.750 0.250 1
Sb4 0.250 0.750 0.750 1
Sb5 0.750 0.250 0.250 1
Sb6 0.750 0.250 0.750 1
Sb7 0.750 0.750 0.250 1
Sb8 0.750 0.750 0.750 1

***

Which of these has the lowest ρ?
La4PmSb5